Material: La2Sn2Te
Method: DFT, PBE
State: relaxed

Cell lengths 9.201, 9.201, 9.201 Å; angles 153.14, 153.14, 38.35 degrees
Sites, in units of the cell vectors:
La: 0.103 0.103 0.000
La: 0.897 0.897 0.000
Sn: 0.250 0.750 0.500
Sn: 0.750 0.250 0.500
Te: 0.500 0.500 0.000

Output
The calculated total energy is -5.1029 eV per atom. As for the uncorrected formation energy: -902 meV/atom. The offset from the most stable computed form comes out at 0 meV/atom.